VASP calculation (PBE with a Hubbard U) on MgCrSi2O6 after structural relaxation.

## Properties
excess energy over the best structure of this formula in the dataset = 19.1 meV/atom
calculated total energy = -7.5205 eV/atom

a = 5.417 Å, b = 6.664 Å, c = 7.313 Å
α = 84.20°, β = 71.77°, γ = 74.18°
Space group P-1 (No. 2)
Symmetry-distinct sites (fractional):
Mg (0.236, 0.265, 0.261) x2
Cr (0.255, 0.902, 0.613) x2
Si (0.213, 0.382, 0.694) x2
Si (0.304, 0.785, 0.120) x2
O (0.108, 0.616, 0.187) x2
O (0.147, 0.990, 0.254) x2
O (0.167, 0.621, 0.616) x2
O (0.328, 0.205, 0.524) x2
O (0.386, 0.820, 0.891) x2
O (0.407, 0.327, 0.833) x2